(1)
CaPbN2F: relaxed, PBE.

Results
The value obtained for the uncorrected formation energy is -0.09 eV per atom. Its energy is -4.93 eV per atom. As for the space group: No. 123. The calculation puts the magnetization at 0.4 μB per cell. The energy above the lowest structure with this stoichiometry comes out at 0.0 meV per atom.

Cell: 4.282 4.282 4.487 Å, 90.00 90.00 90.00°
Fractional coordinates of all 5 atoms:
Ca 0.000 0.000 0.000
Pb 0.500 0.500 0.500
N 0.000 0.500 0.500
N 0.500 0.000 0.500
F 0.500 0.500 0.000

***

(2)
CaPbN2F: relaxed, PBE.

Results
The value obtained for the uncorrected formation energy is 0.07 eV per atom. Its energy is -4.77 eV per atom. As for the space group: No. 123. The calculation puts the magnetization at 3.0 μB per cell. The energy above the lowest structure with this stoichiometry comes out at 160.0 meV per atom.

Cell: 4.644 4.644 4.228 Å, 90.00 90.00 90.00°
Fractional coordinates of all 5 atoms:
Ca 0.000 0.000 0.000
Pb 0.500 0.500 0.500
N 0.000 0.500 0.000
N 0.500 0.000 0.000
F 0.000 0.000 0.500

***

(3)
CaPdN2F: relaxed, PBE.

Results
The value obtained for the uncorrected formation energy is 0.79 eV per atom. Its energy is -4.35 eV per atom. As for the space group: No. 123. The calculation puts the magnetization at 5.0 μB per cell. The energy above the lowest structure with this stoichiometry comes out at 883.1 meV per atom.

Cell: 4.704 4.704 4.193 Å, 90.00 90.00 90.00°
Fractional coordinates of all 5 atoms:
Ca 0.000 0.000 0.000
Pd 0.500 0.500 0.500
N 0.000 0.500 0.000
N 0.500 0.000 0.000
F 0.000 0.000 0.500

***

(4)
CaPdN2F: relaxed, PBE.

Results
The value obtained for the uncorrected formation energy is -0.09 eV per atom. Its energy is -5.24 eV per atom. As for the space group: No. 123. The calculation puts the magnetization at 1.0 μB per cell. The energy above the lowest structure with this stoichiometry comes out at 0.0 meV per atom.

Cell: 3.831 3.831 5.084 Å, 90.00 90.00 90.00°
Fractional coordinates of all 5 atoms:
Ca 0.000 0.000 0.000
Pd 0.500 0.500 0.500
N 0.000 0.500 0.500
N 0.500 0.000 0.500
F 0.500 0.500 0.000

***

(5)
CaPtNF2: relaxed, PBE.

Results
The value obtained for the uncorrected formation energy is -1.03 eV per atom. Its energy is -5.06 eV per atom. As for the space group: No. 123. The calculation puts the magnetization at 0.0 μB per cell. The energy above the lowest structure with this stoichiometry comes out at 0.0 meV per atom.

Cell: 4.688 4.688 3.719 Å, 90.00 90.00 90.00°
Fractional coordinates of all 5 atoms:
Ca 0.000 0.000 0.000
Pt 0.500 0.500 0.500
N 0.500 0.500 0.000
F 0.000 0.500 0.500
F 0.500 0.000 0.500

***

(6)
CaPtNF2: relaxed, PBE.

Results
The value obtained for the uncorrected formation energy is -0.45 eV per atom. Its energy is -4.47 eV per atom. As for the space group: No. 123. The calculation puts the magnetization at 2.5 μB per cell. The energy above the lowest structure with this stoichiometry comes out at 582.5 meV per atom.

Cell: 4.114 4.114 5.303 Å, 90.00 90.00 90.00°
Fractional coordinates of all 5 atoms:
Ca 0.000 0.000 0.000
Pt 0.500 0.500 0.500
N 0.000 0.000 0.500
F 0.000 0.500 0.000
F 0.500 0.000 0.000

***

(7)
RbCaNF2: relaxed, PBE.

Results
The value obtained for the uncorrected formation energy is -1.81 eV per atom. Its energy is -4.82 eV per atom. As for the space group: No. 123. The calculation puts the magnetization at 2.0 μB per cell. The energy above the lowest structure with this stoichiometry comes out at 0.0 meV per atom.

Cell: 4.522 4.522 4.981 Å, 90.00 90.00 90.00°
Fractional coordinates of all 5 atoms:
Rb 0.000 0.000 0.000
Ca 0.500 0.500 0.500
N 0.500 0.500 0.000
F 0.000 0.500 0.500
F 0.500 0.000 0.500

***

(8)
RbCaNF2: relaxed, PBE.

Results
The value obtained for the uncorrected formation energy is -0.69 eV per atom. Its energy is -3.69 eV per atom. As for the space group: No. 123. The calculation puts the magnetization at 1.0 μB per cell. The energy above the lowest structure with this stoichiometry comes out at 1126.0 meV per atom.

Cell: 4.832 4.832 4.581 Å, 90.00 90.00 90.00°
Fractional coordinates of all 5 atoms:
Rb 0.000 0.000 0.000
Ca 0.500 0.500 0.500
N 0.000 0.000 0.500
F 0.000 0.500 0.000
F 0.500 0.000 0.000

***

(9)
Rb2CaNF6: relaxed, PBE.

Results
The value obtained for the uncorrected formation energy is -2.05 eV per atom. Its energy is -4.40 eV per atom. As for the space group: No. 139. The calculation puts the magnetization at 1.0 μB per cell.

Cell: 6.654 6.654 6.654 Å, 128.70 128.70 75.49°
Fractional coordinates of all 10 atoms:
Rb 0.250 0.750 0.500
Rb 0.750 0.250 0.500
Ca 0.000 0.000 0.000
N 0.500 0.500 0.000
F 0.208 0.208 0.000
F 0.280 0.280 0.560
F 0.280 0.720 0.000
F 0.720 0.280 0.000
F 0.720 0.720 0.440
F 0.792 0.792 0.000

***

(10)
CaReNF2: relaxed, PBE.

Results
The value obtained for the uncorrected formation energy is -0.24 eV per atom. Its energy is -5.55 eV per atom. As for the space group: No. 123. The calculation puts the magnetization at 4.0 μB per cell. The energy above the lowest structure with this stoichiometry comes out at 855.8 meV per atom.

Cell: 4.085 4.085 5.088 Å, 90.00 90.00 90.00°
Fractional coordinates of all 5 atoms:
Ca 0.000 0.000 0.000
Re 0.500 0.500 0.500
N 0.000 0.000 0.500
F 0.000 0.500 0.000
F 0.500 0.000 0.000

***

(11)
CaReNF2: relaxed, PBE.

Results
The value obtained for the uncorrected formation energy is -1.10 eV per atom. Its energy is -6.40 eV per atom. As for the space group: No. 123. The calculation puts the magnetization at 0.0 μB per cell. The energy above the lowest structure with this stoichiometry comes out at 0.0 meV per atom.

Cell: 4.279 4.279 3.899 Å, 90.00 90.00 90.00°
Fractional coordinates of all 5 atoms:
Ca 0.000 0.000 0.000
Re 0.500 0.500 0.500
N 0.500 0.500 0.000
F 0.000 0.500 0.500
F 0.500 0.000 0.500

***

(12)
CaRe2NF: relaxed, PBE.

Results
The value obtained for the uncorrected formation energy is 2.57 eV per atom. Its energy is -4.85 eV per atom. As for the space group: No. 123. The calculation puts the magnetization at 6.6 μB per cell.

Cell: 5.800 5.800 4.197 Å, 90.00 90.00 90.00°
Fractional coordinates of all 5 atoms:
Ca 0.000 0.000 0.000
Re 0.000 0.500 0.000
Re 0.500 0.000 0.000
N 0.500 0.500 0.500
F 0.000 0.000 0.500